Record 1
The following is a DFT calculation (GGA+U) of a relaxed VSnOsO6 crystal.

Output
Crystal system: trigonal

abc: 5.0646 5.0646 9.2608
angles: 90.00 90.00 120.00
Last column: magnetic moment on the atom in μB.
Fractional positions:
O (0.6610, 0.6567, 0.1302)  -0.12
O (0.0042, 0.6610, 0.8698)  -0.12
O (0.6567, 0.9958, 0.8698)  -0.12
O (0.9958, 0.6567, 0.3698)  -0.12
O (0.6610, 0.0042, 0.3698)  -0.12
O (0.0042, 0.3433, 0.6302)  -0.12
O (0.3390, 0.9958, 0.6302)  -0.12
O (0.3433, 0.0042, 0.1302)  -0.12
O (0.9958, 0.3390, 0.1302)  -0.12
O (0.3390, 0.3433, 0.8698)  -0.12
O (0.6567, 0.6610, 0.6302)  -0.12
O (0.3433, 0.3390, 0.3698)  -0.12
Os (0.6667, 0.3333, 0.2500)  -1.81
Os (0.3333, 0.6667, 0.7500)  -1.81
Sn (0.0000, 0.0000, 0.0000)  -0.02
Sn (0.0000, 0.0000, 0.5000)  -0.02
V (0.6667, 0.3333, 0.7500)  1.67
V (0.3333, 0.6667, 0.2500)  1.67

---

Record 2
The following is a DFT calculation (GGA+U) of a relaxed V2SnOsO8 crystal.

Output
Crystal system: orthorhombic

abc: 4.6084 4.6073 6.2982
angles: 90.00 90.00 89.86
Last column: magnetic moment on the atom in μB.
Fractional positions:
Sn (0.0000, 0.0000, 0.5000)  0.01
Os (0.0000, 0.0000, 0.0000)  1.03
O (0.6846, 0.6850, 0.5000)  -0.02
O (0.7977, 0.2026, 0.2393)  0.00
O (0.2022, 0.7974, 0.2393)  0.00
O (0.6991, 0.6993, 0.0000)  0.02
O (0.7978, 0.2026, 0.7607)  0.00
O (0.2023, 0.7974, 0.7607)  0.00
O (0.3154, 0.3150, 0.5000)  -0.02
O (0.3009, 0.3007, 0.0000)  0.02
V (0.5000, 0.5000, 0.7504)  1.29
V (0.5000, 0.5000, 0.2496)  1.29

---

Values for raw total energy, eV/f.u., ordered as above
-65.32, -89.08
Values for N(E_F), states/eV per atom, ordered as above
0.144, 0.154